The following is a DFT calculation (PBE-GGA) of a geometry-optimized Ca12In3F5 structure.

Calculated values
Its uncorrected formation energy is -29.60 eV/f.u. The final energy is -3.56 eV/atom. For the spin magnetization, the calculation gives 0.0000 μB per atom.

a = 16.4217 Å, b = 16.4217 Å, c = 16.4217 Å
α = 90.00°, β = 90.00°, γ = 90.00°
With the nearest neighbours (Å) after each atom.
Space group Ia-3d (No. 230)
Inequivalent atoms, fractional coordinates:
Ca 0.0363 0.0549 0.6528 (multiplicity 96)  1 F 2.34
In 0.0000 0.2500 0.1250 (multiplicity 24)  8 Ca 3.22-3.29
F 0.0000 0.0000 0.0000 (multiplicity 16)  6 Ca 2.73
F 0.0000 0.2500 0.3750 (multiplicity 24)  4 Ca 2.34

The following is a DFT calculation (PBE-GGA) of a geometry-optimized RbTlC2N structure.

Calculated values
Its uncorrected formation energy is 13.60 eV/f.u. The final energy is -3.30 eV/atom. For the spin magnetization, the calculation gives 0.7604 μB per atom.

a = 4.7277 Å, b = 4.7277 Å, c = 4.5630 Å
α = 90.00°, β = 90.00°, γ = 90.00°
With the nearest neighbours (Å) after each atom.
Space group P4/mmm (No. 123)
Inequivalent atoms, fractional coordinates:
Rb 0.0000 0.0000 0.0000 (multiplicity 1)  8 C 3.29, 4 N 3.34
Tl 0.5000 0.5000 0.5000 (multiplicity 1)  2 N 2.28, 4 C 2.36
C 0.0000 0.5000 0.5000 (multiplicity 2)  2 Tl 2.36
N 0.5000 0.5000 0.0000 (multiplicity 1)  2 Tl 2.28

The following is a DFT calculation (PBE-GGA) of a geometry-optimized TaPb2Se structure.

Calculated values
Its uncorrected formation energy is 0.34 eV/f.u. The final energy is -5.60 eV/atom. For the spin magnetization, the calculation gives 0.0000 μB per atom.

a = 11.4114 Å, b = 3.3075 Å, c = 5.7370 Å
α = 90.00°, β = 110.35°, γ = 90.00°
With the nearest neighbours (Å) after each atom.
Space group Cm (No. 8)
Inequivalent atoms, fractional coordinates:
Ta 0.0000 0.0000 0.0000 (multiplicity 2)  2 Se 2.55
Pb 0.2580 0.0000 0.9323 (multiplicity 2)  3 Ta 3.10-3.13, 3 Pb 3.22-3.31
Pb 0.4234 0.0000 0.5159 (multiplicity 2)  1 Se 2.93, 2 Ta 3.09, 1 Pb 3.22
Se 0.1308 0.5000 0.3253 (multiplicity 2)  2 Ta 2.55

The following is a DFT calculation (PBE-GGA) of a geometry-optimized K2ScSn2 structure.

Calculated values
Its formation energy is -0.049 eV per atom. The final energy is -3.36 eV/atom. For the spin magnetization, the calculation gives 0.0000 μB per atom.

a = 7.7468 Å, b = 7.7468 Å, c = 5.9116 Å
α = 90.00°, β = 90.00°, γ = 90.00°
With the nearest neighbours (Å) after each atom.
Space group P4/mbm (No. 127)
Inequivalent atoms, fractional coordinates:
K 0.1674 0.3326 0.0000 (multiplicity 4)  6 Sn 3.65-3.79, 5 K 3.67-4.08
Sc 0.0000 0.0000 0.5000 (multiplicity 2)  4 Sn 3.01
Sn 0.1364 0.6364 0.5000 (multiplicity 4)  1 Sn 2.99, 2 Sc 3.01

The following is a DFT calculation (PBE-GGA) of a geometry-optimized Nb2AsSe2 structure.

Calculated values
Its uncorrected formation energy is -0.10 eV/f.u. The energy above the most stable polymorph in this dataset is 303 meV per atom. The final energy is -6.37 eV/atom. For the spin magnetization, the calculation gives 0.0000 μB per atom.

a = 4.1643 Å, b = 4.1643 Å, c = 11.8322 Å
α = 90.00°, β = 90.00°, γ = 90.00°
With the nearest neighbours (Å) after each atom.
Space group I4/mmm (No. 139)
Inequivalent atoms, fractional coordinates:
Nb 0.0000 0.0000 0.1167 (multiplicity 4)  4 Se 2.61, 1 Nb 2.76
As 0.0000 0.0000 0.5000 (multiplicity 2)  8 Nb 3.25, 8 Se 3.62
Se 0.0000 0.5000 0.2500 (multiplicity 4)  4 Nb 2.61

The following is a DFT calculation (PBE-GGA) of a geometry-optimized DyAlSi2 structure.

Calculated values
Its uncorrected formation energy is -1.19 eV/f.u. The final energy is -5.09 eV/atom. For the spin magnetization, the calculation gives 0.0000 μB per atom.

a = 4.2773 Å, b = 4.2773 Å, c = 3.9803 Å
α = 90.00°, β = 90.00°, γ = 90.00°
With the nearest neighbours (Å) after each atom.
Space group P4/mmm (No. 123)
Inequivalent atoms, fractional coordinates:
Dy 0.0000 0.0000 0.0000 (multiplicity 1)  8 Si 2.92, 4 Al 3.02
Al 0.5000 0.5000 0.0000 (multiplicity 1)  8 Si 2.92, 4 Dy 3.02
Si 0.0000 0.5000 0.5000 (multiplicity 2)  4 Dy 2.92, 4 Al 2.92, 4 Si 3.02

The following is a DFT calculation (PBE-GGA) of a geometry-optimized Pm8Si3I4Cl structure.

Calculated values
Its uncorrected formation energy is -16.03 eV/f.u. The final energy is -4.90 eV/atom. For the spin magnetization, the calculation gives 0.0000 μB per atom.

a = 8.5481 Å, b = 8.5481 Å, c = 22.8444 Å
α = 90.00°, β = 90.00°, γ = 120.00°
With the nearest neighbours (Å) after each atom.
Space group R-3m (No. 166, hexagonal axes)
Inequivalent atoms, fractional coordinates:
Pm 0.0000 0.0000 0.2320 (multiplicity 6)  3 Si 2.88
Pm 0.0121 0.5060 0.7686 (multiplicity 18)  2 Si 2.84, 1 Cl 2.95
Si 0.0000 0.5000 0.5000 (multiplicity 9)  6 Pm 2.84-2.88
I 0.0000 0.0000 0.0000 (multiplicity 3)  6 Pm 3.33
I 0.0000 0.5000 0.0000 (multiplicity 9)  6 Pm 3.38-3.43
Cl 0.0000 0.0000 0.5000 (multiplicity 3)  6 Pm 2.95

The following is a DFT calculation (PBE-GGA) of a geometry-optimized Sc4BiRu structure.

Calculated values
Its formation energy is -0.323 eV per atom. The energy above the most stable polymorph in this dataset is 157 meV per atom. The final energy is -6.74 eV/atom. For the spin magnetization, the calculation gives 0.0001 μB per atom.

a = 14.8959 Å, b = 5.2809 Å, c = 7.5178 Å
α = 90.00°, β = 105.78°, γ = 90.00°
With the nearest neighbours (Å) after each atom.
Space group C2/c (No. 15)
Inequivalent atoms, fractional coordinates:
Sc 0.0794 0.1542 0.4433 (multiplicity 8)  1 Ru 2.51
Sc 0.1944 0.3389 0.1481 (multiplicity 8)  2 Ru 2.59-2.67
Bi 0.0000 0.3513 0.7500 (multiplicity 4)  6 Sc 3.05-3.12
Ru 0.2500 0.2500 0.5000 (multiplicity 4)  6 Sc 2.51-2.67